Entry from Alexandria: an optimized crystal structure of Li2TiCr3O8 (PBE+U).

Output
- Calculated volume: 10.63 Å³/atom
- Total moment: 16.0 Bohr magnetons per cell
- ρ: 3857 kg/m³
- Energy above the most stable polymorph in this dataset: 0.000 kcal/mol of atoms

POSCAR file:
```
Li2TiCr3O8
1.0
2.9706 5.1311 0.0081
-2.9706 5.1311 0.0081
0.0000 3.4490 9.7715
Cr Li O Ti
6 4 16 2
direct
0.2403 0.7597 0.7500 Cr
0.7597 0.2403 0.2500 Cr
0.0000 0.0000 0.0000 Cr
0.5000 0.5000 0.0000 Cr
0.5000 0.5000 0.5000 Cr
0.0000 0.0000 0.5000 Cr
0.9282 0.4428 0.6872 Li
0.4428 0.9282 0.1872 Li
0.0718 0.5572 0.3128 Li
0.5572 0.0718 0.8128 Li
0.8617 0.8962 0.3873 O
0.1383 0.1038 0.6127 O
0.3474 0.4116 0.8813 O
0.4116 0.3474 0.3813 O
0.1246 0.6329 0.1068 O
0.6591 0.1355 0.1138 O
0.1038 0.1383 0.1127 O
0.3671 0.8754 0.3932 O
0.6329 0.1246 0.6068 O
0.8962 0.8617 0.8873 O
0.6526 0.5884 0.1187 O
0.5884 0.6526 0.6187 O
0.1355 0.6591 0.6138 O
0.8754 0.3671 0.8932 O
0.8645 0.3409 0.3862 O
0.3409 0.8645 0.8862 O
0.0000 0.5000 0.0000 Ti
0.5000 0.0000 0.5000 Ti
```